Computed, not measured: Li2CrP2 after structural relaxation at the GGA-PBE level of DFT.

Space-group type: P4/mbm
Energy of formation from the pure elements, meV per atom: -439

Cell: 6.0746 6.0746 4.0568 Å, 90.00 90.00 90.00°
Element x y z (fractional)
Cr 0.0000 0.0000 0.0000
Cr 0.5000 0.5000 0.0000
Li 0.1707 0.6707 0.5000
Li 0.6707 0.8293 0.5000
Li 0.8293 0.3293 0.5000
Li 0.3293 0.1707 0.5000
P 0.3681 0.8681 0.0000
P 0.8681 0.6319 0.0000
P 0.6319 0.1319 0.0000
P 0.1319 0.3681 0.0000